Record 1
VASP calculation (GGA-PBE) on crystalline ZnFeSi2 at its relaxed geometry.

## Properties
Uncorrected energy ... -39.48 eV for the cell shown
Volume ... 14.40 Å³ per atom
Raw formation energy ... 0.21 eV per atom

Cell: 3.7774 3.7774 8.5050 Å, 77.17 77.17 90.00°
Each line ends with the local moment (μB).
Atoms (fractional coordinates):
Fe: 0.5000 0.5000 0.0000  1.85
Fe: 0.2500 0.7500 0.5000  1.85
Si: 0.5995 0.1250 0.2500  -0.01
Si: 0.1505 0.6250 0.2500  -0.01
Si: 0.8750 0.8495 0.7500  -0.02
Si: 0.3750 0.4005 0.7500  -0.01
Zn: 0.0000 0.0000 0.0000  -0.03
Zn: 0.7500 0.2500 0.5000  -0.03

---

Record 2
VASP calculation (GGA-PBE) on crystalline Zn2FeSi at its relaxed geometry.

## Properties
Uncorrected energy ... -29.98 eV for the cell shown
Volume ... 14.97 Å³ per atom
Raw formation energy ... 0.36 eV per atom

Cell: 7.0738 7.0738 5.5448 Å, 50.37 50.37 90.00°
Each line ends with the local moment (μB).
Atoms (fractional coordinates):
Zn: 0.1287 0.6250 0.2500  -0.02
Zn: 0.8750 0.8713 0.7500  -0.02
Zn: 0.3750 0.3787 0.7500  -0.02
Zn: 0.6213 0.1250 0.2500  -0.02
Fe: 0.7500 0.2500 0.5000  2.15
Fe: 0.0000 0.0000 0.0000  2.15
Si: 0.2500 0.7500 0.5000  -0.03
Si: 0.5000 0.5000 0.0000  -0.03

---

Record 3
VASP calculation (GGA-PBE) on crystalline Zn2FeSi at its relaxed geometry.

## Properties
Uncorrected energy ... -16.16 eV for the cell shown
Volume ... 13.28 Å³ per atom
Raw formation energy ... 0.07 eV per atom

Cell: 4.7172 2.5874 4.3545 Å, 91.57 90.00 90.00°
Each line ends with the local moment (μB).
Atoms (fractional coordinates):
Zn: 0.0000 0.9792 0.0050  -0.03
Zn: 0.0000 0.5208 0.4950  -0.03
Si: 0.5000 0.7500 0.7500  -0.04
Fe: 0.5000 0.2500 0.2500  1.79

---

Record 4
VASP calculation (GGA-PBE) on crystalline ZnFeSi2 at its relaxed geometry.

## Properties
Uncorrected energy ... -20.34 eV for the cell shown
Volume ... 13.23 Å³ per atom
Raw formation energy ... 0.06 eV per atom

Cell: 4.0559 2.9795 4.6228 Å, 71.36 90.00 90.00°
Atoms (fractional coordinates):
Si: 0.5000 0.2176 0.1931
Si: 0.0000 0.8118 0.0022
Fe: 0.5000 0.9327 0.7595
Zn: 0.0000 0.5379 0.5453

---

Record 5
VASP calculation (GGA-PBE) on crystalline Zn3FeSi at its relaxed geometry.

## Properties
Uncorrected energy ... -13.21 eV for the cell shown
Volume ... 19.97 Å³ per atom
Energy relative to the lowest polymorph listed for this composition ... 98 meV/atom
Raw formation energy ... 0.90 eV per atom

Cell: 4.6391 4.6391 4.6391 Å, 90.00 90.00 90.00°
Each line ends with the local moment (μB).
Atoms (fractional coordinates):
Si: 0.0000 0.0000 0.0000  0.02
Zn: 0.0000 0.0000 0.5000  -0.01
Zn: 0.5000 0.0000 0.0000  -0.01
Zn: 0.0000 0.5000 0.0000  -0.02
Fe: 0.5000 0.5000 0.5000  3.20

---

Record 6
VASP calculation (GGA-PBE) on crystalline ZnFeSi2 at its relaxed geometry.

## Properties
Uncorrected energy ... -42.26 eV for the cell shown
Volume ... 13.53 Å³ per atom
Raw formation energy ... -0.14 eV per atom

Cell: 4.0444 4.4878 6.2419 Å, 73.76 84.28 88.41°
Atoms (fractional coordinates):
Si: 0.7107 0.8151 0.7666
Si: 0.2893 0.1849 0.2334
Si: 0.2470 0.6364 0.5199
Si: 0.7530 0.3636 0.4801
Zn: 0.1722 0.7385 0.0435
Zn: 0.8278 0.2615 0.9565
Fe: 0.2313 0.0895 0.6205
Fe: 0.7687 0.9105 0.3795

---

Record 7
VASP calculation (GGA-PBE) on crystalline ZnFeSi2 at its relaxed geometry.

## Properties
Uncorrected energy ... -20.15 eV for the cell shown
Volume ... 12.57 Å³ per atom
Raw formation energy ... 0.11 eV per atom

Cell: 2.8101 3.4486 5.1875 Å, 90.00 90.00 90.00°
Atoms (fractional coordinates):
Fe: 0.5000 0.5000 0.7500
Zn: 0.5000 0.5000 0.2500
Si: 0.0000 0.0000 0.5189
Si: 0.0000 0.0000 0.9811

---

Record 8
VASP calculation (GGA-PBE) on crystalline ZnFeSi at its relaxed geometry.

## Properties
Uncorrected energy ... -14.74 eV for the cell shown
Volume ... 13.93 Å³ per atom
Energy relative to the lowest polymorph listed for this composition ... 285 meV/atom
Raw formation energy ... 0.14 eV per atom

Cell: 3.8953 3.8953 3.8953 Å, 60.00 60.00 60.00°
Atoms (fractional coordinates):
Si: 0.7500 0.7500 0.7500
Fe: 0.5000 0.5000 0.5000
Zn: 0.0000 0.0000 0.0000

---

Record 9
VASP calculation (GGA-PBE) on crystalline ZnFeSi at its relaxed geometry.

## Properties
Uncorrected energy ... -31.20 eV for the cell shown
Volume ... 13.45 Å³ per atom
Energy relative to the lowest polymorph listed for this composition ... 0 meV/atom
Raw formation energy ... -0.15 eV per atom

Cell: 3.7810 3.7810 5.6450 Å, 90.00 90.00 90.00°
Each line ends with the local moment (μB).
Atoms (fractional coordinates):
Zn: 0.0000 0.5000 0.8236  -0.02
Zn: 0.5000 0.0000 0.1764  -0.02
Fe: 0.0000 0.0000 0.5000  0.48
Fe: 0.5000 0.5000 0.5000  0.48
Si: 0.0000 0.5000 0.2632  -0.03
Si: 0.5000 0.0000 0.7368  -0.03

---

Record 10
VASP calculation (GGA-PBE) on crystalline ZnFeSi2 at its relaxed geometry.

## Properties
Uncorrected energy ... -19.44 eV for the cell shown
Volume ... 12.76 Å³ per atom
Raw formation energy ... 0.29 eV per atom

Cell: 2.8858 4.3987 4.0195 Å, 90.00 90.00 90.00°
Atoms (fractional coordinates):
Si: 0.5000 0.5000 0.0000
Si: 0.0000 0.0000 0.0000
Fe: 0.0000 0.5000 0.5000
Zn: 0.5000 0.0000 0.5000

---

Record 11
VASP calculation (GGA-PBE) on crystalline ZnFeSi3 at its relaxed geometry.

## Properties
Uncorrected energy ... -24.30 eV for the cell shown
Volume ... 16.82 Å³ per atom
Energy relative to the lowest polymorph listed for this composition ... 0 meV/atom
Raw formation energy ... 0.34 eV per atom

Cell: 4.3813 4.3813 4.3813 Å, 90.00 90.00 90.00°
Atoms (fractional coordinates):
Si: 0.0000 0.0000 0.5000
Si: 0.0000 0.5000 0.0000
Si: 0.5000 0.0000 0.0000
Zn: 0.5000 0.5000 0.5000
Fe: 0.0000 0.0000 0.0000

---

Record 12
VASP calculation (GGA-PBE) on crystalline Zn2FeSi at its relaxed geometry.

## Properties
Uncorrected energy ... -16.54 eV for the cell shown
Volume ... 12.95 Å³ per atom
Raw formation energy ... -0.03 eV per atom

Cell: 3.0761 3.0620 5.5003 Å, 90.00 90.00 90.00°
Each line ends with the local moment (μB).
Atoms (fractional coordinates):
Zn: 0.0000 0.0000 0.0007  -0.01
Zn: 0.5000 0.5000 0.2566  -0.02
Si: 0.5000 0.5000 0.7114  -0.03
Fe: 0.0000 0.0000 0.5314  0.88